The following is a DFT calculation (PBE) of an optimized crystal structure of CdCS2Cl.

```
CdCS2Cl
1.0
-0.395 1.289 -3.675
-3.791 -0.977 0.065
-1.561 6.218 2.349
S Cd C Cl
2 1 1 1
Direct
0.500 0.000 0.000
0.000 0.500 0.000
0.500 0.500 0.500
0.000 0.000 0.000
0.000 0.000 0.500
```

As for the space group: P4/mmm, No. 123. For the magnetic moment, the calculation gives 0.00 μB per formula unit. As for the volume: 104.65 Å³ per cell. For the formation energy from raw total energies, the calculation gives 4.205 eV/f.u. Its crystal system is tetragonal. Its total energy is -3.2071 eV/atom.